DFT (PBE) results for crystalline TaAgTe2 at its relaxed geometry.

## Properties
Its calculated total energy is -5.006 eV/atom.

Unit cell a=3.1240 b=3.1240 c=10.5236 alpha=90.00 beta=90.00 gamma=107.30
With the nearest neighbours (Å) after each atom.
Sites, in units of the cell vectors:
Te: 0.0000 0.0000 0.9378  2 Ta 2.82, 4 Te 3.12
Te: 0.5000 0.5000 0.2966  2 Ag 3.07, 4 Te 3.12
Ag: 0.0000 0.0000 0.5293  2 Ta 2.86, 2 Te 3.07, 4 Ag 3.12
Ta: 0.5000 0.5000 0.7362  2 Te 2.82, 2 Ag 2.86, 4 Ta 3.12

***

DFT (PBE) results for crystalline Cs2NaEu at its relaxed geometry.

## Properties
As for the formation energy: 0.25 eV/atom. Its calculated total energy is -3.076 eV/atom.

Unit cell a=4.4388 b=4.4388 c=15.7123 alpha=81.88 beta=81.88 gamma=60.00
With the nearest neighbours (Å) after each atom.
Sites, in units of the cell vectors:
Eu: 0.0000 0.0000 0.0000  2 Cs 4.18, 6 Eu 4.44
Cs: 0.0898 0.0898 0.7305  1 Eu 4.18, 3 Na 4.40, 6 Cs 4.44
Cs: 0.9102 0.9102 0.2695  1 Eu 4.18, 3 Na 4.40, 6 Cs 4.44
Na: 0.5000 0.5000 0.5000  6 Cs 4.40, 6 Na 4.44

***

DFT (PBE) results for crystalline SrNdGe4 at its relaxed geometry.

## Properties
As for the formation energy: -0.36 eV/atom. Its calculated total energy is -4.509 eV/atom. The calculation puts the excess energy over the best structure of this formula in the dataset at 0.1169 eV per atom.

Unit cell a=5.8108 b=5.8108 c=5.8108 alpha=60.00 beta=60.00 gamma=60.00
With the nearest neighbours (Å) after each atom.
Sites, in units of the cell vectors:
Sr: 0.0000 0.0000 0.0000  12 Ge 3.41, 4 Nd 3.56
Ge: 0.6227 0.6227 0.1318  6 Ge 2.85-2.96
Ge: 0.6227 0.1318 0.6227  6 Ge 2.85-2.96
Ge: 0.6227 0.6227 0.6227  6 Ge 2.85-2.96
Ge: 0.1318 0.6227 0.6227  6 Ge 2.85-2.96
Nd: 0.2500 0.2500 0.2500  12 Ge 3.40, 4 Sr 3.56

***

DFT (PBE) results for crystalline LaHoCoRh at its relaxed geometry.

## Properties
As for the formation energy: -0.38 eV/atom. Its calculated total energy is -6.371 eV/atom.

Unit cell a=4.9081 b=4.9081 c=4.9081 alpha=60.00 beta=60.00 gamma=60.00
With the nearest neighbours (Å) after each atom.
Sites, in units of the cell vectors:
Co: 0.5000 0.5000 0.5000  4 Ho 3.01, 4 La 3.01
Rh: 0.0000 0.0000 0.0000  4 La 3.01, 4 Ho 3.01
Ho: 0.2500 0.2500 0.2500  4 Co 3.01, 4 Rh 3.01
La: 0.7500 0.7500 0.7500  4 Rh 3.01, 4 Co 3.01